Here is NiIr3 at its PBEsol-relaxed geometry from Alexandria via LeMat-Bulk. Energies are from meta-GGA SCAN.

a b c (Å): 2.6958 2.6958 8.4733
angles (deg): 90.00 90.00 120.00
Closest atoms and distances in Å follow each position.
Fractional positions:
1 Ni 0.0000 0.0000 0.5000  6 Ir 2.56, 6 Ni 2.70
2 Ir 0.3333 0.6667 0.2597  3 Ni 2.56, 9 Ir 2.70
3 Ir 0.0000 0.0000 0.0000  12 Ir 2.70
4 Ir 0.3333 0.6667 0.7403  3 Ni 2.56, 9 Ir 2.70

Computed properties:
The value obtained for the electronic total energy is -57.281 eV per atom. Its space group is P-6m2, No. 187.



Here is Ni2Ir at its PBEsol-relaxed geometry from Alexandria via LeMat-Bulk. Energies are from meta-GGA SCAN.

a b c (Å): 2.6022 2.6022 6.0831
angles (deg): 90.00 90.00 120.00
Closest atoms and distances in Å follow each position.
Fractional positions:
1 Ni 0.6667 0.3333 0.3409  9 Ni 2.45-2.60, 3 Ir 2.56
2 Ni 0.3333 0.6667 0.6591  9 Ni 2.45-2.60, 3 Ir 2.56
3 Ir 0.0000 0.0000 0.0000  6 Ni 2.56, 6 Ir 2.60

Computed properties:
As for the energy above the most stable polymorph in this dataset: 21.0 meV per atom. The value obtained for the electronic total energy is -34.444 eV per atom. Its space group is P-3m1, No. 164.



Here is NiIr4 at its PBEsol-relaxed geometry from Alexandria via LeMat-Bulk. Energies are from meta-GGA SCAN.

a b c (Å): 3.7688 4.6221 4.6221
angles (deg): 80.43 65.94 65.94
Closest atoms and distances in Å follow each position.
Fractional positions:
1 Ir 0.6015 0.1972 0.5999  9 Ir 2.65-2.69, 3 Ni 2.66-2.67
2 Ir 0.2014 0.4001 0.1972  9 Ir 2.65-2.69, 3 Ni 2.66-2.67
3 Ir 0.3985 0.8028 0.4001  9 Ir 2.65-2.69, 3 Ni 2.66-2.67
4 Ir 0.7986 0.5999 0.8028  9 Ir 2.65-2.69, 3 Ni 2.66-2.67
5 Ni 0.0000 0.0000 0.0000  12 Ir 2.66-2.67

Computed properties:
The value obtained for the electronic total energy is -60.123 eV per atom. Its space group is I4/m, No. 87.